DFT (PBE with a Hubbard U) results for a relaxed K2VFeO4 crystal.

Results
Space-group type = Fddd
Mass density = 2.8 g/cm3
E = -95.254 eV/cell

The structure in POSCAR format:
```
K2VFeO4
1.0
4.927 0.000 0.000
2.463 5.909 0.000
2.463 0.000 10.188
Fe O K V
2 8 4 2
direct
0.000 0.000 0.000 Fe
0.750 0.500 0.500 Fe
0.165 0.321 0.402 O
0.585 0.179 0.098 O
0.236 0.179 0.902 O
0.862 0.821 0.902 O
0.317 0.821 0.098 O
0.888 0.679 0.598 O
0.433 0.679 0.402 O
0.514 0.321 0.598 O
0.827 0.000 0.346 K
0.577 0.500 0.846 K
0.923 0.500 0.154 K
0.173 0.000 0.654 K
0.500 0.000 0.000 V
0.250 0.500 0.500 V
```